A relaxed Ac3Al7Pt4 crystal. Source: Alexandria via LeMat-Bulk, functional PBE.

Values from the calculation:
- energy of formation (eV per atom) = -0.876
- space group = C2/m (12)
- DFT total energy (eV per atom) = -5.354

Cell: 4.4074 8.4666 8.8344 Å, 69.62 75.56 74.91°
Closest atoms and distances in Å follow each position.
Sites, in units of the cell vectors:
Al (0.0000, 0.0000, 0.0000)  2 Pt 2.85, 6 Al 3.03-3.04
Al (0.3213, 0.8363, 0.5211)  4 Pt 2.61-2.83, 1 Al 2.83
Al (0.5034, 0.7849, 0.2082)  3 Pt 2.55-2.78, 1 Al 2.83
Al (0.6787, 0.1637, 0.4789)  4 Pt 2.61-2.83, 1 Al 2.83
Al (0.8433, 0.3866, 0.9269)  3 Pt 2.61-2.75
Al (0.4966, 0.2151, 0.7918)  3 Pt 2.55-2.78, 1 Al 2.83
Al (0.1567, 0.6134, 0.0731)  3 Pt 2.61-2.75
Ac (0.6915, 0.8124, 0.8046)  10 Al 3.24-3.40, 4 Pt 3.24
Ac (0.3085, 0.1876, 0.1954)  10 Al 3.24-3.40, 4 Pt 3.24
Ac (0.0000, 0.5000, 0.5000)  6 Pt 3.07-3.35
Pt (0.1202, 0.1086, 0.6509)  6 Al 2.61-2.85
Pt (0.8798, 0.8914, 0.3491)  6 Al 2.61-2.85
Pt (0.3429, 0.5283, 0.7859)  5 Al 2.55-2.83
Pt (0.6571, 0.4717, 0.2141)  5 Al 2.55-2.83